Record 1
This record from Alexandria via LeMat-Bulk describes crystalline ReAsBr2 at its relaxed geometry. The functional is GGA-PBEsol.

Lattice parameters (Å, degrees): 3.1451 3.1451 9.7005 90.00 90.00 123.42
Last column: nearest neighbours and their distance in Å.
Sites, in units of the cell vectors:
1 Re 0.0000 0.0000 0.0000  4 Br 2.52
2 As 0.0000 0.0000 0.5000  6 As 2.98-3.15, 4 Br 3.19
3 Br 0.5000 0.5000 0.2096  2 Re 2.52
4 Br 0.5000 0.5000 0.7904  2 Re 2.52

Calculated values
The value obtained for the formation energy (no corrections) is 774 meV per atom. The value obtained for the total energy is -4.771 eV/atom. For the density of states at the Fermi level, the calculation gives 4.7 states/eV/cell. The spin magnetization is 0.00 μB/f.u.

---

Record 2
This record from Alexandria via LeMat-Bulk describes crystalline TaReAsBr2 at its relaxed geometry. The functional is GGA-PBEsol.

Lattice parameters (Å, degrees): 4.9779 4.9779 5.1105 90.00 90.00 90.00
Last column: nearest neighbours and their distance in Å.
Sites, in units of the cell vectors:
1 Ta 0.0000 0.0000 0.0000  4 Br 2.49, 2 As 2.56
2 Re 0.5000 0.5000 0.5000  4 As 3.52, 8 Br 3.57
3 As 0.0000 0.0000 0.5000  2 Ta 2.56
4 Br 0.0000 0.5000 0.0000  2 Ta 2.49
5 Br 0.5000 0.0000 0.0000  2 Ta 2.49

Calculated values
The value obtained for the formation energy (no corrections) is 1341 meV per atom. The value obtained for the total energy is -5.605 eV/atom. For the density of states at the Fermi level, the calculation gives 2.8 states/eV/cell. The spin magnetization is 5.31 μB/f.u.

---

Record 3
This record from Alexandria via LeMat-Bulk describes crystalline ZrReAsBr2 at its relaxed geometry. The functional is GGA-PBEsol.

Lattice parameters (Å, degrees): 4.9856 4.9856 4.7315 90.00 90.00 90.00
Last column: nearest neighbours and their distance in Å.
Sites, in units of the cell vectors:
1 Zr 0.0000 0.0000 0.0000  8 Br 3.44, 4 As 3.53
2 Re 0.5000 0.5000 0.5000  2 As 2.37, 4 Br 2.49
3 As 0.5000 0.5000 0.0000  2 Re 2.37
4 Br 0.0000 0.5000 0.5000  2 Re 2.49
5 Br 0.5000 0.0000 0.5000  2 Re 2.49

Calculated values
The value obtained for the formation energy (no corrections) is 859 meV per atom. The value obtained for the total energy is -5.395 eV/atom. For the density of states at the Fermi level, the calculation gives 8.1 states/eV/cell. The spin magnetization is 1.61 μB/f.u.

---

Record 4
This record from Alexandria via LeMat-Bulk describes crystalline ZrReAsBr2 at its relaxed geometry. The functional is GGA-PBEsol.

Lattice parameters (Å, degrees): 5.1136 5.1136 5.3316 90.00 90.00 90.00
Last column: nearest neighbours and their distance in Å.
Sites, in units of the cell vectors:
1 Zr 0.0000 0.0000 0.0000  4 Br 2.56, 2 As 2.67
2 Re 0.5000 0.5000 0.5000  4 As 3.62, 8 Br 3.69
3 As 0.0000 0.0000 0.5000  2 Zr 2.67
4 Br 0.0000 0.5000 0.0000  2 Zr 2.56
5 Br 0.5000 0.0000 0.0000  2 Zr 2.56

Calculated values
The value obtained for the formation energy (no corrections) is 903 meV per atom. The value obtained for the total energy is -5.350 eV/atom. For the density of states at the Fermi level, the calculation gives 2.3 states/eV/cell. The spin magnetization is 5.39 μB/f.u.

---

Record 5
This record from Alexandria via LeMat-Bulk describes crystalline AsRh2Br at its relaxed geometry. The functional is GGA-PBEsol.

Lattice parameters (Å, degrees): 4.4269 4.4269 4.4269 60.00 60.00 60.00
Last column: nearest neighbours and their distance in Å.
Sites, in units of the cell vectors:
1 As 0.0000 0.0000 0.0000  8 Rh 2.71
2 Rh 0.2500 0.2500 0.2500  4 As 2.71, 4 Br 2.71
3 Rh 0.7500 0.7500 0.7500  4 As 2.71, 4 Br 2.71
4 Br 0.5000 0.5000 0.5000  8 Rh 2.71

Calculated values
The value obtained for the formation energy (no corrections) is 233 meV per atom. The value obtained for the total energy is -5.580 eV/atom. For the density of states at the Fermi level, the calculation gives 6.6 states/eV/cell. The spin magnetization is 0.02 μB/f.u.

---

Record 6
This record from Alexandria via LeMat-Bulk describes crystalline As2RhBr at its relaxed geometry. The functional is GGA-PBEsol.

Lattice parameters (Å, degrees): 6.0203 6.0203 6.0203 151.14 135.51 53.91
Last column: nearest neighbours and their distance in Å.
Sites, in units of the cell vectors:
1 As 0.1955 0.1955 0.0000  2 Rh 2.58
2 As 0.8045 0.8045 0.0000  2 Rh 2.58
3 Rh 0.0000 0.5000 0.5000  4 As 2.58, 4 Br 2.73
4 Br 0.5000 0.0000 0.5000  4 Rh 2.73, 2 Br 3.00

Calculated values
The value obtained for the formation energy (no corrections) is 152 meV per atom. The value obtained for the total energy is -4.904 eV/atom. For the density of states at the Fermi level, the calculation gives 2.0 states/eV/cell. The spin magnetization is 0.00 μB/f.u.